1.
VASP calculation (GGA-PBE) on Hf2TaMo after structural relaxation.

Properties
SG: P4/mmm, No. 123
DFT formation energy: 0.11 eV/atom

Cell and atoms, written as extended XYZ:
```
4
Lattice="-2.668 -1.823 0.923 2.773 -2.594 2.896 -0.859 3.061 3.563" Properties=species:S:1:pos:R:3 pbc="T T T"
Mo -1.334 -0.911 0.461
Hf 1.386 -1.297 1.448
Ta -0.377 -0.678 3.691
Hf -0.429 1.530 1.782
```

2.
VASP calculation (GGA-PBE) on BeSiSb after structural relaxation.

Properties
Uncorrected formation energy: 0.4125 eV per atom
SG: P3m1, No. 156

Cell and atoms, written as extended XYZ:
```
3
Lattice="3.722 0.000 0.000 -1.861 3.223 0.000 0.000 0.000 4.453" Properties=species:S:1:pos:R:3 pbc="T T T"
Si 0.000 2.149 3.409
Sb 1.861 1.074 1.270
Be 0.000 0.000 4.227
```

3.
VASP calculation (GGA-PBE) on ZrIn2Au after structural relaxation.

Properties
SG: P4/mmm, No. 123
DFT formation energy: -0.20 eV/atom

Cell and atoms, written as extended XYZ:
```
4
Lattice="-0.403 3.141 -1.067 -0.405 -1.114 -3.125 -7.518 -0.566 1.175" Properties=species:S:1:pos:R:3 pbc="T T T"
Zr -2.283 0.872 -1.802
In -7.388 -0.556 1.155
In -3.890 -0.293 0.608
Au -6.042 0.589 -1.215
```

4.
VASP calculation (GGA-PBE) on CdMo3Se after structural relaxation.

Properties
Uncorrected formation energy: 2.5768 eV per atom
SG: Pm-3m, No. 221

Cell and atoms, written as extended XYZ:
```
5
Lattice="-2.162 3.948 -1.939 -4.386 -1.772 1.283 0.332 2.302 4.315" Properties=species:S:1:pos:R:3 pbc="T T T"
Mo 0.166 1.151 2.157
Mo -1.081 1.974 -0.970
Cd 0.000 0.000 0.000
Se -3.108 2.239 1.829
Mo -2.193 -0.886 0.642
```

5.
VASP calculation (GGA-PBE) on Sc2Ru after structural relaxation.

Properties
SG: Pnnm, No. 58
DFT formation energy: -0.27 eV/atom

Cell and atoms, written as extended XYZ:
```
6
Lattice="-2.136 -2.314 -0.718 4.215 -4.401 1.646 -2.179 0.152 5.987" Properties=species:S:1:pos:R:3 pbc="T T T"
Sc -1.920 -1.792 4.218
Sc 1.117 -2.826 5.783
Ru -0.050 -3.282 3.457
Sc 0.919 -1.423 1.850
Ru 0.000 0.000 0.000
Sc 1.820 -4.771 2.696
```

6.
VASP calculation (GGA-PBE) on YAsP2 after structural relaxation.

Properties
SG: Cmmm, No. 65
DFT formation energy: -0.40 eV/atom

Cell and atoms, written as extended XYZ:
```
4
Lattice="0.510 1.874 -4.128 0.864 -4.324 -1.174 -3.582 -0.529 -0.682" Properties=species:S:1:pos:R:3 pbc="T T T"
Y -1.536 0.673 -2.405
As -1.359 -2.426 -0.928
P 0.000 0.000 0.000
P 0.687 -1.225 -2.651
```

7.
VASP calculation (GGA-PBE) on Dy5Ho12Pu after structural relaxation.

Properties
SG: C2/m, No. 12
DFT formation energy: 0.01 eV/atom

Cell and atoms, written as extended XYZ:
```
18
Lattice="-5.155 -1.653 -2.923 -3.332 -4.736 2.080 -10.665 10.048 8.819" Properties=species:S:1:pos:R:3 pbc="T T T"
Pu 0.000 0.000 0.000
Ho -13.746 5.628 5.922
Ho -13.360 2.272 5.007
Dy -5.659 -4.259 -0.562
Ho -7.693 6.522 5.560
Ho -7.726 -1.459 -0.619
Ho -11.426 5.118 8.595
Ho -5.407 -1.970 2.054
Dy -7.910 4.197 2.948
Ho -5.792 1.387 2.969
Dy -8.413 1.593 5.307
Ho -8.127 1.873 0.336
Ho -14.218 3.016 8.318
Dy -2.829 -2.129 -0.281
Dy -10.740 2.066 2.669
Ho -4.934 0.643 -0.342
Ho -10.531 4.402 5.287
Ho -8.622 -0.743 2.689
```

8.
VASP calculation (GGA-PBE) on Zn2Si2Bi after structural relaxation.

Properties
Uncorrected formation energy: 0.2817 eV per atom
SG: I4/mmm, No. 139

Cell and atoms, written as extended XYZ:
```
5
Lattice="4.290 0.000 0.000 0.000 4.290 0.000 2.145 2.145 5.272" Properties=species:S:1:pos:R:3 pbc="T T T"
Bi 0.000 0.000 0.000
Si 2.145 2.145 1.183
Zn 4.290 2.145 2.636
Si 4.290 4.290 4.089
Zn 2.145 4.290 2.636
```

9.
VASP calculation (GGA-PBE) on CaYSc2Fe after structural relaxation.

Properties
SG: P4/mmm, No. 123
DFT formation energy: 0.04 eV/atom

Cell and atoms, written as extended XYZ:
```
5
Lattice="5.016 0.000 0.000 0.000 5.016 0.000 0.000 0.000 5.258" Properties=species:S:1:pos:R:3 pbc="T T T"
Fe 0.000 0.000 0.000
Sc 0.000 2.508 0.000
Y 0.000 0.000 2.629
Ca 2.508 2.508 2.629
Sc 2.508 0.000 0.000
```

10.
VASP calculation (GGA-PBE) on ScNb2Ag after structural relaxation.

Properties
SG: I-42d, No. 122
DFT formation energy: 0.60 eV/atom

Cell and atoms, written as extended XYZ:
```
8
Lattice="7.829 0.000 0.000 0.000 7.829 0.000 3.914 3.914 2.668" Properties=species:S:1:pos:R:3 pbc="T T T"
Ag 0.000 0.000 0.000
Ag 7.829 3.914 1.334
Sc 3.914 7.829 1.334
Nb 5.871 5.709 2.001
Nb 1.795 5.871 0.667
Nb 6.034 1.957 0.667
Sc 3.914 3.914 0.000
Nb 9.786 9.948 2.001
```